# KLaW2O8 | Alexandria via LeMat-Bulk | PBE with a Hubbard U | optimized geometry
data_KLaW2O8
_symmetry_space_group_name_H-M 'C 1 2/m 1'
_symmetry_Int_Tables_number 12
_symmetry_space_group_name_Hall '-C 2y'
_cell_length_a 10.5195
_cell_length_b 10.9966
_cell_length_c 7.6679
_cell_angle_alpha 90.00
_cell_angle_beta 125.97
_cell_angle_gamma 90.00
loop_
_atom_site_label
_atom_site_type_symbol
_atom_site_fract_x
_atom_site_fract_y
_atom_site_fract_z
K1 K 0.1907 0.0000 0.0281
La1 La 0.0000 0.2011 0.5000
W1 W 0.0000 0.3389 0.0000
W2 W 0.2045 0.5000 0.4418
O1 O 0.0157 0.5000 0.8445
O2 O 0.0474 0.2377 0.8585
O3 O 0.0759 0.0000 0.3934
O4 O 0.1693 0.3740 0.5640
O5 O 0.2181 0.3742 0.2394
# Uncorrected energy   -357.5 eV/cell